Compound: Ce2Ni4P3Pt
Source: Alexandria via LeMat-Bulk
Functional: PBE
Structure: optimized geometry

Values from the calculation:
M_tot (μB/cell): 0.000
Formation energy from the elements (eV per atom): -0.898

a = 3.9001 Å, b = 3.9001 Å, c = 9.9772 Å
α = 90.00°, β = 90.00°, γ = 90.00°
Atoms (fractional coordinates):
Ce: 0.5000 0.0000 0.2462
Ce: 0.0000 0.5000 0.7538
Ni: 0.5000 0.5000 0.0000
Ni: 0.0000 0.0000 0.0000
Ni: 0.5000 0.0000 0.6580
Ni: 0.0000 0.5000 0.3420
P: 0.0000 0.0000 0.5000
P: 0.5000 0.0000 0.8786
P: 0.0000 0.5000 0.1214
Pt: 0.5000 0.5000 0.5000